Here is a relaxed Ce6NiPt2 crystal from Alexandria via LeMat-Bulk. Energies are from PBE.

Properties
As for the space group: No. 38. For the spin magnetization, the calculation gives 1.0 μB/f.u. The formation enthalpy at 0 K is -4.63 eV/f.u. For the total energy, the calculation gives -58.100 eV/cell.

Cell lengths 3.6534, 7.8199, 8.4652 Å; angles 117.51, 90.00, 90.00 degrees
Each line ends with the local moment (μB).
Positions (direct):
Ce (0.5000, 0.5489, 0.0000)  0.18
Ce (0.5000, 0.0309, 0.6095)  0.08
Ce (0.5000, 0.4215, 0.3905)  0.08
Ce (0.0000, 0.2497, 0.0000)  0.05
Ce (0.0000, 0.9990, 0.2486)  0.24
Ce (0.0000, 0.7504, 0.7514)  0.24
Pt (0.0000, 0.3422, 0.6533)  0.00
Pt (0.0000, 0.6889, 0.3467)  0.00
Ni (0.5000, 0.9686, 0.0000)  -0.01